Crystalline NdSm12Co6 at its relaxed geometry, computed with PBE.

Results
As for the energy of formation: -0.08 eV/atom. The uncorrected energy comes out at -211.0 eV for the cell shown.

The structure in CIF format:
```
data_NdSm12Co6
_chemical_formula_sum 'Nd2 Sm24 Co12'
_space_group_name_H-M_alt 'I m -3'
_space_group_IT_number 204
_space_group_name_Hall '-I 2 2 3'
_cell_length_a 9.981
_cell_length_b 9.981
_cell_length_c 9.981
_cell_angle_alpha 90.00
_cell_angle_beta 90.00
_cell_angle_gamma 90.00
loop_
_atom_site_label
_atom_site_fract_x
_atom_site_fract_y
_atom_site_fract_z
Nd1 0.000 0.000 0.000
Sm1 0.000 0.195 0.310
Co1 0.000 0.388 0.500
```